First-principles (GGA-PBE) data for a relaxed structure of Li2RePb, as listed in Alexandria via LeMat-Bulk.

Summary:
volume = 17.78 A^3/atom
energy of formation = 782 meV per atom
crystal system = tetragonal
D(E_F) = 4.14 states/eV/cell
space-group type = No. 122

Cell lengths 5.800, 5.800, 5.800 Å; angles 102.51, 102.51, 124.52 degrees
Sites, in units of the cell vectors:
Li: 0.117 0.125 0.492
Li: 0.375 0.883 0.008
Li: 0.633 0.625 0.508
Li: 0.875 0.367 0.992
Re: 0.000 0.000 0.000
Re: 0.750 0.250 0.500
Pb: 0.250 0.750 0.500
Pb: 0.500 0.500 0.000



First-principles (GGA-PBE) data for a relaxed structure of CaAgHSe, as listed in Alexandria via LeMat-Bulk.

Summary:
volume = 20.07 A^3/atom
total DFT energy (no corrections) = -28.96 eV per cell
crystal system = trigonal
D(E_F) = 0.00 states/eV/cell
space-group type = No. 166

Cell lengths 10.534, 10.534, 10.534 Å; angles 23.30, 23.30, 23.30 degrees
Sites, in units of the cell vectors:
Ca: 0.118 0.118 0.118
Ca: 0.882 0.882 0.882
Ag: 0.307 0.307 0.307
Ag: 0.693 0.693 0.693
H: 0.191 0.191 0.191
H: 0.809 0.809 0.809
Se: 0.398 0.398 0.398
Se: 0.602 0.602 0.602